Entry 1:
## CuPdO3 (PBE-GGA)

Data for CuPdO3 after structural relaxation.

D(E_F): 0.5431 states/eV per atom
Formation energy without anion corrections: -0.3584 eV/atom
Final energy: -51.91 eV for the cell shown
Space-group type: Cmc2_1, No. 36
ρ: 6.68 g cm⁻³

Unit cell a=3.100 b=4.916 c=7.281 alpha=90.00 beta=102.29 gamma=90.00
Each line ends with the local moment (μB).
Sites, in units of the cell vectors:
Cu  0.473  0.491  0.946  0.42
Cu  0.527  0.991  0.054  0.42
Pd  0.827  0.009  0.654  0.02
Pd  0.173  0.509  0.346  0.02
O  0.948  0.234  0.896  0.18
O  0.052  0.734  0.104  0.18
O  0.610  0.306  0.220  0.14
O  0.390  0.806  0.780  0.14
O  0.714  0.754  0.427  0.01
O  0.286  0.254  0.573  0.01



Entry 2:
## ErHgRh (PBE-GGA)

Data for ErHgRh after structural relaxation.

D(E_F): 0.5908 states/eV per atom
ΔH_f (0 K): -585 meV/atom
Final energy: -27.94 eV for the cell shown
Space-group type: Cmcm, No. 63
ρ: 12.55 g cm⁻³

Unit cell a=4.447 b=5.236 c=5.909 alpha=90.00 beta=90.00 gamma=115.13
Sites, in units of the cell vectors:
Er  0.199  0.398  0.750
Er  0.801  0.602  0.250
Hg  0.500  0.000  0.500
Hg  0.500  0.000  0.000
Rh  0.109  0.218  0.250
Rh  0.891  0.782  0.750



Entry 3:
## Mn2Ga2Os (PBE-GGA)

Data for Mn2Ga2Os after structural relaxation.

D(E_F): 0.7336 states/eV per atom
Relative energy among the computed polymorphs: 61 meV per atom
ΔH_f (0 K): 336 meV/atom
Final energy: -67.89 eV for the cell shown
Space-group type: P4/mbm, No. 127
ρ: 10.92 g cm⁻³

Unit cell a=7.074 b=7.074 c=2.671 alpha=90.00 beta=90.00 gamma=90.00
Each line ends with the local moment (μB).
Sites, in units of the cell vectors:
Mn  0.394  0.894  0.000  0.85
Mn  0.894  0.606  0.000  0.90
Mn  0.606  0.106  0.000  0.85
Mn  0.106  0.394  0.000  0.90
Os  0.000  0.000  0.000  0.09
Os  0.500  0.500  0.000  0.08
Ga  0.189  0.689  0.500  -0.03
Ga  0.689  0.811  0.500  -0.03
Ga  0.811  0.311  0.500  -0.03
Ga  0.311  0.189  0.500  -0.03



Entry 4:
## Rb3Ag6Te5 (PBE-GGA)

Data for Rb3Ag6Te5 after structural relaxation.

D(E_F): 0.2762 states/eV per atom
Formation energy without anion corrections: -0.4236 eV/atom
Final energy: -83.30 eV for the cell shown
Space-group type: Pmmn, No. 59
ρ: 6.12 g cm⁻³

Unit cell a=4.711 b=12.309 c=14.429 alpha=90.00 beta=90.00 gamma=90.00
Sites, in units of the cell vectors:
Rb  0.000  0.253  0.651
Rb  0.500  0.747  0.151
Rb  0.500  0.747  0.849
Rb  0.000  0.244  0.000
Rb  0.500  0.756  0.500
Rb  0.000  0.253  0.349
Ag  0.000  0.008  0.827
Ag  0.500  0.992  0.673
Ag  0.500  0.382  0.813
Ag  0.500  0.490  0.000
Ag  0.000  0.510  0.500
Ag  0.000  0.618  0.687
Ag  0.000  0.618  0.313
Ag  0.500  0.017  0.000
Ag  0.000  0.008  0.173
Ag  0.500  0.382  0.187
Ag  0.000  0.983  0.500
Ag  0.500  0.992  0.327
Te  0.000  0.505  0.868
Te  0.000  0.851  0.674
Te  0.000  0.889  0.000
Te  0.500  0.495  0.632
Te  0.500  0.111  0.500
Te  0.000  0.505  0.132
Te  0.500  0.495  0.368
Te  0.000  0.851  0.326
Te  0.500  0.149  0.826
Te  0.500  0.149  0.174



Entry 5:
## K2ZnHg16 (PBE-GGA)

Data for K2ZnHg16 after structural relaxation.

D(E_F): 0.3572 states/eV per atom
ΔH_f (0 K): -95 meV/atom
Final energy: -10.10 eV for the cell shown
Space-group type: R3m, No. 160
ρ: 10.22 g cm⁻³

Unit cell a=8.335 b=8.335 c=8.335 alpha=77.77 beta=77.77 gamma=77.77
Sites, in units of the cell vectors:
K  0.641  0.641  0.641
K  0.322  0.322  0.322
Zn  0.947  0.947  0.947
Hg  0.702  0.000  0.300
Hg  0.000  0.300  0.702
Hg  0.300  0.702  0.000
Hg  0.000  0.702  0.300
Hg  0.702  0.300  0.000
Hg  0.300  0.000  0.702
Hg  0.342  0.896  0.342
Hg  0.896  0.342  0.342
Hg  0.342  0.342  0.896
Hg  0.602  0.216  0.602
Hg  0.216  0.602  0.602
Hg  0.602  0.602  0.216
Hg  0.939  0.597  0.939
Hg  0.597  0.939  0.939
Hg  0.939  0.939  0.597
Hg  0.110  0.110  0.110



Entry 6:
## AcNd2Co (PBE-GGA)

Data for AcNd2Co after structural relaxation.

D(E_F): 1.1316 states/eV per atom
Relative energy among the computed polymorphs: 195 meV per atom
ΔH_f (0 K): 149 meV/atom
Final energy: -20.15 eV for the cell shown
Space-group type: R-3m, No. 166
ρ: 6.84 g cm⁻³

Unit cell a=3.875 b=3.875 c=10.946 alpha=79.80 beta=79.80 gamma=60.00
Sites, in units of the cell vectors:
Co  0.500  0.500  0.500
Ac  0.000  0.000  0.000
Nd  0.118  0.118  0.645
Nd  0.882  0.882  0.355